# ReAs2Pt | Alexandria via LeMat-Bulk | GGA-PBE | optimized geometry
data_ReAs2Pt
_chemical_formula_sum 'Re3 As6 Pt3'
_cell_length_a 3.0291
_cell_length_b 3.0291
_cell_length_c 24.3098
_cell_angle_alpha 90.00
_cell_angle_beta 90.00
_cell_angle_gamma 120.00
_space_group_name_H-M_alt 'R -3 m'
_space_group_IT_number 166
_space_group_name_Hall '-R 3 2"'
loop_
_atom_site_label
_atom_site_fract_x
_atom_site_fract_y
_atom_site_fract_z
Re1 0.0000 0.0000 0.0000
As1 0.0000 0.0000 0.2556
Pt1 0.0000 0.0000 0.5000
# Size of the total moment   0.00 μB/f.u.
# Raw total energy   -27.3 eV/f.u.
# Crystal system   trigonal
# Volume   193.16 Å³ per cell
# Energy above the most stable polymorph in this dataset   0.018 eV/atom
# Energy of formation from the pure elements   111 meV per atom